Here is AlTeSe2 after structural relaxation from Alexandria. Energies are from PBE.

Structure (POSCAR):
```
AlTeSe2
1.0
-5.174 -4.724 0.331
-2.561 -3.242 5.668
1.535 5.918 -3.437
Te Al Se
1 1 2
Direct
0.394 0.394 0.000
0.215 0.715 0.500
0.091 0.091 0.000
0.801 0.301 0.500
```

Computed properties:
The value obtained for the calculated density is 4.6 g/cm³. Its space group is Imm2. The uncorrected formation energy is -2.9 kcal/mol of atoms. The value obtained for the energy above the most stable polymorph in this dataset is 320 meV/atom. The calculation puts the spin magnetization at 0.00 μB/atom.

Here is Be2CuAgIr after structural relaxation from Alexandria. Energies are from PBE.

Structure (POSCAR):
```
Be2CuAgIr
1.0
4.129 0.000 0.000
0.000 4.514 0.000
0.000 0.000 4.129
Be Ir Cu Ag
2 1 1 1
Direct
0.000 0.000 0.500
0.500 0.000 0.000
0.500 0.500 0.500
0.000 0.500 0.000
0.000 0.000 0.000
```

Computed properties:
The value obtained for the calculated density is 8.2 g/cm³. Its space group is P4/mmm. The calculation puts the spin magnetization at 0.00 μB/atom. As for the formation energy from the elements: 1.235 eV per atom.

Here is SmAlZnPt after structural relaxation from Alexandria. Energies are from PBE.

Structure (POSCAR):
```
SmAlZnPt
1.0
4.160 0.000 0.000
0.000 4.039 0.000
0.000 -2.019 4.946
Sm Al Zn Pt
1 1 1 1
Direct
0.500 0.197 0.395
0.000 0.912 0.824
0.500 0.480 0.960
0.000 0.639 0.277
```

Computed properties:
The value obtained for the calculated density is 8.7 g/cm³. Its space group is Amm2. The value obtained for the energy above the most stable polymorph in this dataset is 128 meV/atom. The calculation puts the spin magnetization at 0.00 μB/atom. As for the formation energy from the elements: -0.546 eV per atom.

Here is CaI2Cl after structural relaxation from Alexandria. Energies are from PBE.

Structure (POSCAR):
```
CaI2Cl
1.0
1.149 2.113 5.053
-0.009 5.541 0.784
-4.058 2.392 3.021
I Ca Cl
2 1 1
Direct
0.250 0.250 0.250
0.750 0.750 0.750
0.500 0.500 0.500
0.000 0.000 0.000
```

Computed properties:
The value obtained for the calculated density is 4.4 g/cm³. Its space group is Fm-3m. The uncorrected formation energy is -20.4 kcal/mol of atoms. The value obtained for the energy above the most stable polymorph in this dataset is 280 meV/atom. The calculation puts the spin magnetization at 0.00 μB/atom.

Here is CuWSCl2 after structural relaxation from Alexandria. Energies are from PBE.

Structure (POSCAR):
```
CuWSCl2
1.0
4.456 0.000 0.000
0.000 4.456 0.000
0.000 0.000 5.008
S Cu W Cl
1 1 1 2
Direct
0.000 0.000 0.500
0.000 0.000 0.000
0.500 0.500 0.500
0.000 0.500 0.000
0.500 0.000 0.000
```

Computed properties:
The value obtained for the calculated density is 5.8 g/cm³. Its space group is P4/mmm. The uncorrected formation energy is 21.0 kcal/mol of atoms. The value obtained for the energy above the most stable polymorph in this dataset is 586 meV/atom. The calculation puts the spin magnetization at 0.78 μB/atom.

Here is KTcBr2 after structural relaxation from Alexandria. Energies are from PBE.

Structure (POSCAR):
```
KTcBr2
1.0
-7.210 0.578 -2.734
-7.128 -2.788 -1.102
-1.283 1.795 3.766
Br K Tc
2 1 1
Direct
0.951 0.951 0.876
0.232 0.232 0.374
0.544 0.544 0.376
0.772 0.772 0.874
```

Computed properties:
The value obtained for the calculated density is 4.0 g/cm³. Its space group is Cm. The uncorrected formation energy is -1.8 kcal/mol of atoms. The value obtained for the energy above the most stable polymorph in this dataset is 114 meV/atom. The calculation puts the spin magnetization at 1.04 μB/atom.

Here is PuHfPaMo after structural relaxation from Alexandria. Energies are from PBE.

Structure (POSCAR):
```
PuHfPaMo
1.0
4.916 0.000 0.000
2.458 4.257 0.000
2.458 1.419 4.014
Mo Pa Hf Pu
1 1 1 1
Direct
0.000 0.000 0.000
0.250 0.250 0.250
0.750 0.750 0.750
0.500 0.500 0.500
```

Computed properties:
The value obtained for the calculated density is 14.8 g/cm³. Its space group is F-43m. The calculation puts the spin magnetization at 1.53 μB/atom. As for the formation energy from the elements: 0.116 eV per atom.

Here is ScH2F6 after structural relaxation from Alexandria. Energies are from PBE.

Structure (POSCAR):
```
ScH2F6
1.0
-2.670 4.037 -0.736
-1.557 -0.582 7.018
5.711 3.447 2.743
Sc H F
2 4 12
Direct
0.250 0.885 0.115
0.750 0.115 0.885
0.390 0.482 0.255
0.110 0.745 0.518
0.610 0.518 0.745
0.890 0.255 0.482
0.399 0.350 0.359
0.101 0.641 0.650
0.601 0.650 0.641
0.899 0.359 0.350
0.876 0.149 0.626
0.624 0.374 0.851
0.124 0.851 0.374
0.376 0.626 0.149
0.112 0.158 0.037
0.388 0.963 0.842
0.888 0.842 0.963
0.612 0.037 0.158
```

Computed properties:
The value obtained for the calculated density is 2.1 g/cm³. Its space group is C2/c. The value obtained for the energy above the most stable polymorph in this dataset is 19 meV/atom. The calculation puts the spin magnetization at 0.12 μB/atom.